[1]
DFT (PBE-GGA) results for a geometry-optimized TlRe2Te structure.

The density of states at the Fermi level comes out at 0.857 states/eV/atom. The raw formation energy is 1220.9 meV/atom.

It has space group P2/m (No. 10), with a = 3.117 Å, b = 4.398 Å, c = 5.953 Å, α = 90.00°, β = 92.54° and γ = 90.00°. Symmetry generates all atoms from Tl at (0.000, 0.000, 0.000), Re at (0.182, 0.500, 0.306) and Te at (0.500, 0.000, 0.500).



[2]
DFT (PBE-GGA) results for a geometry-optimized TlReTe2 structure.

The density of states at the Fermi level comes out at 0.698 states/eV/atom. The raw formation energy is 242.2 meV/atom.

It has space group R-3m (No. 166, hexagonal axes), with a = 3.4982 Å, b = 3.4982 Å, c = 29.6614 Å, α = 90.00°, β = 90.00° and γ = 120.00°. Symmetry generates all atoms from Tl at (0.0000, 0.0000, 0.0000), Re at (0.0000, 0.0000, 0.5000) and Te at (0.0000, 0.0000, 0.2289).



[3]
DFT (PBE-GGA) results for a geometry-optimized TlReTe structure.

The density of states at the Fermi level comes out at 0.875 states/eV/atom. The raw formation energy is 826.9 meV/atom.

It has space group Fmm2 (No. 42), with a = 3.252 Å, b = 5.303 Å, c = 16.489 Å, α = 90.00°, β = 90.00° and γ = 90.00°. Symmetry generates all atoms from Tl at (0.000, 0.000, 0.000), Re at (0.000, 0.000, 0.655) and Te at (0.000, 0.000, 0.282).



[4]
DFT (PBE-GGA) results for a geometry-optimized TlRe2Te structure.

The density of states at the Fermi level comes out at 0.618 states/eV/atom. The raw formation energy is 596.1 meV/atom.

It has space group Cm (No. 8), with a = 7.228 Å, b = 4.175 Å, c = 7.077 Å, α = 90.00°, β = 110.04° and γ = 90.00°. Symmetry generates all atoms from Tl at (0.000, 0.000, 0.000), Re at (0.041, 0.500, 0.623), Re at (0.234, 0.000, 0.703) and Te at (0.302, 0.500, 0.408).



[5]
DFT (PBE-GGA) results for a geometry-optimized TlRe2Te structure.

The density of states at the Fermi level comes out at 0.956 states/eV/atom. The raw formation energy is 1117.2 meV/atom.

It has space group Fm-3m (No. 225), with a = 6.613 Å, b = 6.613 Å, c = 6.613 Å, α = 90.00°, β = 90.00° and γ = 90.00°. Symmetry generates all atoms from Tl at (0.000, 0.000, 0.000), Re at (0.250, 0.250, 0.250) and Te at (0.000, 0.000, 0.500).



[6]
DFT (PBE-GGA) results for a geometry-optimized TlReTe2 structure.

The density of states at the Fermi level comes out at 0.562 states/eV/atom. The raw formation energy is 240.1 meV/atom.

It has space group Imm2 (No. 44), with a = 3.299 Å, b = 3.313 Å, c = 19.831 Å, α = 90.00°, β = 90.00° and γ = 90.00°. Symmetry generates all atoms from Tl at (0.000, 0.000, 0.000), Re at (0.000, 0.500, 0.741), Te at (0.000, 0.000, 0.348) and Te at (0.000, 0.500, 0.169).



[7]
DFT (PBE-GGA) results for a geometry-optimized TlReTe2 structure.

The density of states at the Fermi level comes out at 0.659 states/eV/atom. The raw formation energy is 350.7 meV/atom.

It has space group Cm (No. 8), with a = 10.836 Å, b = 3.379 Å, c = 6.605 Å, α = 90.00°, β = 114.34° and γ = 90.00°. Symmetry generates all atoms from Tl at (0.000, 0.000, 0.000), Re at (0.275, 0.000, 0.003), Te at (0.136, 0.500, 0.675) and Te at (0.314, 0.500, 0.339).



[8]
DFT (PBE-GGA) results for a geometry-optimized TlReTe2 structure.

The density of states at the Fermi level comes out at 0.701 states/eV/atom. The raw formation energy is 1098.2 meV/atom.

It has space group Pmmm (No. 47), with a = 3.407 Å, b = 5.072 Å, c = 5.573 Å, α = 90.00°, β = 90.00° and γ = 90.00°. Symmetry generates all atoms from Tl at (0.000, 0.000, 0.000), Re at (0.500, 0.000, 0.500), Te at (0.000, 0.500, 0.500) and Te at (0.500, 0.500, 0.000).



[9]
DFT (PBE-GGA) results for a geometry-optimized TlReTe2 structure.

The density of states at the Fermi level comes out at 0.993 states/eV/atom. The raw formation energy is 505.6 meV/atom.

It has space group P2/m (No. 10), with a = 3.103 Å, b = 4.132 Å, c = 8.499 Å, α = 90.00°, β = 97.72° and γ = 90.00°. Symmetry generates all atoms from Tl at (0.000, 0.000, 0.000), Re at (0.500, 0.000, 0.500) and Te at (0.447, 0.500, 0.700).



[10]
DFT (PBE-GGA) results for a geometry-optimized TlReTe2 structure.

The density of states at the Fermi level comes out at 0.792 states/eV/atom. The raw formation energy is 362.2 meV/atom.

It has space group Amm2 (No. 38), with a = 4.040 Å, b = 4.884 Å, c = 12.338 Å, α = 90.00°, β = 90.00° and γ = 90.00°. Symmetry generates all atoms from Tl at (0.000, 0.000, 0.000), Re at (0.500, 0.000, 0.194), Te at (0.000, 0.000, 0.322) and Te at (0.500, 0.000, 0.616).



[11]
DFT (PBE-GGA) results for a geometry-optimized TlReTe2 structure.

The density of states at the Fermi level comes out at 0.879 states/eV/atom. The raw formation energy is 966.3 meV/atom.

It has space group P4/mmm (No. 123), with a = 5.315 Å, b = 5.315 Å, c = 3.404 Å, α = 90.00°, β = 90.00° and γ = 90.00°. Symmetry generates all atoms from Tl at (0.000, 0.000, 0.000), Re at (0.500, 0.500, 0.000) and Te at (0.000, 0.500, 0.500).



[12]
DFT (PBE-GGA) results for a geometry-optimized TlRe2Te structure.

The density of states at the Fermi level comes out at 0.831 states/eV/atom. The raw formation energy is 406.2 meV/atom.

It has space group Amm2 (No. 38), with a = 3.043 Å, b = 3.076 Å, c = 18.929 Å, α = 90.00°, β = 90.00° and γ = 90.00°. Symmetry generates all atoms from Tl at (0.000, 0.000, 0.000), Re at (0.000, 0.000, 0.803), Re at (0.500, 0.000, 0.377) and Te at (0.500, 0.000, 0.677).